[1]
Below is LiMg2Hg at its PBEsol-relaxed geometry, with properties calculated at the SCAN level.

Summary:
Space group: P4mm, No. 99
Fermi-level density of states, states/eV/cell: 1.39
Crystal system: tetragonal
Volume, Å³ per cell: 78
Formation energy from the elements, eV/atom: -0.2782

abc: 3.5170 3.5170 6.3224
angles: 90.00 90.00 90.00
Positions (direct):
Li (0.0000, 0.0000, 0.0000)
Mg (0.0000, 0.0000, 0.5400)
Mg (0.5000, 0.5000, 0.2524)
Hg (0.5000, 0.5000, 0.7857)



[2]
Below is Ba2CdSn at its PBEsol-relaxed geometry, with properties calculated at the SCAN level.

Summary:
Space group: Fm-3m, No. 225
Fermi-level density of states, states/eV/cell: 1.83
Crystal system: cubic
Volume, Å³ per cell: 577
Formation energy from the elements, eV/atom: -0.6011

abc: 8.3268 8.3268 8.3268
angles: 90.00 90.00 90.00
Positions (direct):
Ba (0.2500, 0.2500, 0.2500)
Ba (0.2500, 0.2500, 0.7500)
Ba (0.2500, 0.7500, 0.2500)
Ba (0.2500, 0.7500, 0.7500)
Ba (0.7500, 0.2500, 0.2500)
Ba (0.7500, 0.2500, 0.7500)
Ba (0.7500, 0.7500, 0.2500)
Ba (0.7500, 0.7500, 0.7500)
Cd (0.0000, 0.0000, 0.0000)
Cd (0.0000, 0.5000, 0.5000)
Cd (0.5000, 0.0000, 0.5000)
Cd (0.5000, 0.5000, 0.0000)
Sn (0.0000, 0.0000, 0.5000)
Sn (0.0000, 0.5000, 0.0000)
Sn (0.5000, 0.0000, 0.0000)
Sn (0.5000, 0.5000, 0.5000)



[3]
Below is Sc2NbOs at its PBEsol-relaxed geometry, with properties calculated at the SCAN level.

Summary:
Space group: Fm-3m, No. 225
Fermi-level density of states, states/eV/cell: 12.71
Crystal system: cubic
Volume, Å³ per cell: 283
Formation energy from the elements, eV/atom: -0.0943

abc: 6.5633 6.5633 6.5633
angles: 90.00 90.00 90.00
Positions (direct):
Sc (0.2500, 0.2500, 0.2500)
Sc (0.2500, 0.2500, 0.7500)
Sc (0.2500, 0.7500, 0.2500)
Sc (0.2500, 0.7500, 0.7500)
Sc (0.7500, 0.2500, 0.2500)
Sc (0.7500, 0.2500, 0.7500)
Sc (0.7500, 0.7500, 0.2500)
Sc (0.7500, 0.7500, 0.7500)
Nb (0.0000, 0.0000, 0.0000)
Nb (0.0000, 0.5000, 0.5000)
Nb (0.5000, 0.0000, 0.5000)
Nb (0.5000, 0.5000, 0.0000)
Os (0.0000, 0.0000, 0.5000)
Os (0.0000, 0.5000, 0.0000)
Os (0.5000, 0.0000, 0.0000)
Os (0.5000, 0.5000, 0.5000)



[4]
Below is LaMgSc2 at its PBEsol-relaxed geometry, with properties calculated at the SCAN level.

Summary:
Space group: Imm2, No. 44
Fermi-level density of states, states/eV/cell: 8.26
Crystal system: orthorhombic
Volume, Å³ per cell: 207
Formation energy from the elements, eV/atom: 0.0627

abc: 3.6382 5.2860 10.7379
angles: 90.00 90.00 90.00
Positions (direct):
La (0.0000, 0.0000, 0.0000)
La (0.5000, 0.5000, 0.5000)
Mg (0.0000, 0.5000, 0.7578)
Mg (0.5000, 0.0000, 0.2578)
Sc (0.0000, 0.0000, 0.4885)
Sc (0.0000, 0.5000, 0.2369)
Sc (0.5000, 0.0000, 0.7369)
Sc (0.5000, 0.5000, 0.9885)



[5]
Below is Ta4CoP at its PBEsol-relaxed geometry, with properties calculated at the SCAN level.

Summary:
Space group: F-43m, No. 216
Fermi-level density of states, states/eV/cell: 3.76
Crystal system: cubic
Volume, Å³ per cell: 104
Formation energy from the elements, eV/atom: 0.8068

abc: 5.2738 5.2738 5.2738
angles: 60.00 60.00 60.00
Positions (direct):
Ta (0.1252, 0.1252, 0.1252)
Ta (0.1252, 0.1252, 0.6243)
Ta (0.1252, 0.6243, 0.1252)
Ta (0.6243, 0.1252, 0.1252)
Co (0.5000, 0.5000, 0.5000)
P (0.7500, 0.7500, 0.7500)



[6]
Below is HfGa3Ni12 at its PBEsol-relaxed geometry, with properties calculated at the SCAN level.

Summary:
Space group: P4/mmm, No. 123
Fermi-level density of states, states/eV/cell: 7.69
Crystal system: tetragonal
Volume, Å³ per cell: 181
Formation energy from the elements, eV/atom: -0.3427

abc: 3.5799 3.5799 14.1111
angles: 90.00 90.00 90.00
Positions (direct):
Hf (0.0000, 0.0000, 0.0000)
Ga (0.0000, 0.0000, 0.2560)
Ga (0.0000, 0.0000, 0.5000)
Ga (0.0000, 0.0000, 0.7440)
Ni (0.0000, 0.5000, 0.1331)
Ni (0.0000, 0.5000, 0.3773)
Ni (0.0000, 0.5000, 0.6227)
Ni (0.0000, 0.5000, 0.8669)
Ni (0.5000, 0.0000, 0.1331)
Ni (0.5000, 0.0000, 0.3773)
Ni (0.5000, 0.0000, 0.6227)
Ni (0.5000, 0.0000, 0.8669)
Ni (0.5000, 0.5000, 0.0000)
Ni (0.5000, 0.5000, 0.2551)
Ni (0.5000, 0.5000, 0.5000)
Ni (0.5000, 0.5000, 0.7449)



| no. | final energy (eV for the cell shown) |
| --- | --- |
| 1 | -81.616 |
| 2 | -591.361 |
| 3 | -535.444 |
| 4 | -152.605 |
| 5 | -289.195 |
| 6 | -311.275 |